(1)
Density functional theory data (GGA-PBE) for a relaxed structure of Na3LaC4O12.

Properties
Calculated volume (Å³/atom): 13.45
ΔE_f (raw) (eV/atom): -1.725
Total DFT energy (no corrections) (eV for the cell shown): -139.77

Geometry as CIF:
```
data_Na3LaC4O12
_chemical_formula_sum 'Na3 La1 C4 O12'
_symmetry_space_group_name_H-M 'P 1'
_symmetry_Int_Tables_number 1
_symmetry_space_group_name_Hall 'P 1'
_cell_length_a 6.5898
_cell_length_b 6.5898
_cell_length_c 6.5898
_cell_angle_alpha 100.69
_cell_angle_beta 100.69
_cell_angle_gamma 100.69
loop_
_atom_site_label
_atom_site_fract_x
_atom_site_fract_y
_atom_site_fract_z
_atom_site_occupancy
Na1 0.4674 0.0000 0.5326 1
La1 0.0000 0.0000 0.0000 1
C1 0.9673 0.0327 0.5000 1
C2 0.0327 0.5000 0.9673 1
O1 0.8469 0.0379 0.6357 1
O2 0.3643 0.9621 0.1531 1
O3 0.9067 0.5000 0.0933 1
O4 0.0933 0.9067 0.5000 1
C3 0.5000 0.9673 0.0327 1
O5 0.3740 0.6260 0.5000 1
O6 0.6357 0.8469 0.0379 1
O7 0.6260 0.5000 0.3740 1
C4 0.5000 0.5000 0.5000 1
O8 0.1531 0.3643 0.9621 1
Na2 0.0000 0.5326 0.4674 1
Na3 0.5326 0.4674 0.0000 1
O9 0.0379 0.6357 0.8469 1
O10 0.5000 0.3740 0.6260 1
O11 0.5000 0.0933 0.9067 1
O12 0.9621 0.1531 0.3643 1
```

=====

(2)
Density functional theory data (GGA-PBE) for a relaxed structure of NaLaC2O6.

Properties
ΔE to the lowest computed polymorph (eV per atom): 0.035
Calculated volume (Å³/atom): 14.16
ΔE_f (raw) (eV/atom): -2.110
Total DFT energy (no corrections) (eV for the cell shown): -151.09

Geometry as CIF:
```
data_NaLaC2O6
_chemical_formula_sum 'Na2 La2 C4 O12'
_symmetry_space_group_name_H-M 'P 1'
_symmetry_Int_Tables_number 1
_symmetry_space_group_name_Hall 'P 1'
_cell_length_a 6.5210
_cell_length_b 6.5210
_cell_length_c 7.2918
_cell_angle_alpha 99.85
_cell_angle_beta 99.85
_cell_angle_gamma 107.42
loop_
_atom_site_label
_atom_site_fract_x
_atom_site_fract_y
_atom_site_fract_z
_atom_site_occupancy
Na1 0.0992 0.9008 0.2500 1
Na2 0.9008 0.0992 0.7500 1
O1 0.2480 0.1410 0.6358 1
O2 0.9637 0.4840 0.2317 1
O3 0.5169 0.2974 0.9019 1
C1 0.8721 0.5876 0.7462 1
O4 0.4831 0.7026 0.0981 1
O5 0.0363 0.5160 0.7683 1
O6 0.5160 0.0363 0.2683 1
C2 0.5876 0.8721 0.2462 1
La1 0.4138 0.5862 0.7500 1
La2 0.5862 0.4138 0.2500 1
C3 0.1279 0.4124 0.2538 1
O7 0.8590 0.7520 0.8642 1
O8 0.4840 0.9637 0.7317 1
O9 0.1410 0.2480 0.1358 1
O10 0.7520 0.8590 0.3642 1
O11 0.7026 0.4831 0.5981 1
O12 0.2974 0.5169 0.4019 1
C4 0.4124 0.1279 0.7538 1
```

=====

(3)
Density functional theory data (GGA-PBE) for a relaxed structure of NaLa2OsC.

Properties
Calculated volume (Å³/atom): 23.26
Formation enthalpy at 0 K (eV/atom): -0.060
Total DFT energy (no corrections) (eV for the cell shown): -31.93

Geometry as CIF:
```
data_NaLa2OsC
_chemical_formula_sum 'Na1 La2 Os1 C1'
_symmetry_space_group_name_H-M 'P 1'
_symmetry_Int_Tables_number 1
_symmetry_space_group_name_Hall 'P 1'
_cell_length_a 5.4141
_cell_length_b 5.4141
_cell_length_c 3.9674
_cell_angle_alpha 90.00
_cell_angle_beta 90.00
_cell_angle_gamma 90.00
loop_
_atom_site_label
_atom_site_fract_x
_atom_site_fract_y
_atom_site_fract_z
_atom_site_occupancy
La1 0.0000 0.5000 0.0000 1
C1 0.0000 0.0000 0.0000 1
La2 0.5000 0.0000 0.0000 1
Os1 0.0000 0.0000 0.5000 1
Na1 0.5000 0.5000 0.5000 1
```

=====

(4)
Density functional theory data (GGA-PBE) for a relaxed structure of NaLa2PC.

Properties
Calculated volume (Å³/atom): 24.19
Formation enthalpy at 0 K (eV/atom): 0.950
Total DFT energy (no corrections) (eV for the cell shown): -21.06

Geometry as CIF:
```
data_NaLa2PC
_chemical_formula_sum 'Na1 La2 P1 C1'
_symmetry_space_group_name_H-M 'P 1'
_symmetry_Int_Tables_number 1
_symmetry_space_group_name_Hall 'P 1'
_cell_length_a 5.5050
_cell_length_b 3.9911
_cell_length_c 5.5050
_cell_angle_alpha 90.00
_cell_angle_beta 90.00
_cell_angle_gamma 90.00
loop_
_atom_site_label
_atom_site_fract_x
_atom_site_fract_y
_atom_site_fract_z
_atom_site_occupancy
C1 0.0000 0.5000 0.0000 1
La1 0.5000 0.0000 0.0000 1
La2 0.0000 0.0000 0.5000 1
P1 0.5000 0.5000 0.5000 1
Na1 0.0000 0.0000 0.0000 1
```

=====

(5)
Density functional theory data (GGA-PBE) for a relaxed structure of NaLa2PdC.

Properties
Calculated volume (Å³/atom): 27.80
Formation enthalpy at 0 K (eV/atom): 1.559
Total DFT energy (no corrections) (eV for the cell shown): -17.80

Geometry as CIF:
```
data_NaLa2PdC
_chemical_formula_sum 'Na1 La2 Pd1 C1'
_symmetry_space_group_name_H-M 'P 1'
_symmetry_Int_Tables_number 1
_symmetry_space_group_name_Hall 'P 1'
_cell_length_a 5.5758
_cell_length_b 4.4715
_cell_length_c 5.5758
_cell_angle_alpha 90.00
_cell_angle_beta 90.00
_cell_angle_gamma 90.00
loop_
_atom_site_label
_atom_site_fract_x
_atom_site_fract_y
_atom_site_fract_z
_atom_site_occupancy
La1 0.0000 0.0000 0.5000 1
Na1 0.0000 0.0000 0.0000 1
C1 0.5000 0.5000 0.5000 1
La2 0.5000 0.0000 0.0000 1
Pd1 0.0000 0.5000 0.0000 1
```

=====

(6)
Density functional theory data (GGA-PBE) for a relaxed structure of NaLa2ReC.

Properties
Calculated volume (Å³/atom): 23.74
Formation enthalpy at 0 K (eV/atom): 0.085
Total DFT energy (no corrections) (eV for the cell shown): -32.42

Geometry as CIF:
```
data_NaLa2ReC
_chemical_formula_sum 'Na1 La2 Re1 C1'
_symmetry_space_group_name_H-M 'P 1'
_symmetry_Int_Tables_number 1
_symmetry_space_group_name_Hall 'P 1'
_cell_length_a 5.4265
_cell_length_b 5.4265
_cell_length_c 4.0303
_cell_angle_alpha 90.00
_cell_angle_beta 90.00
_cell_angle_gamma 90.00
loop_
_atom_site_label
_atom_site_fract_x
_atom_site_fract_y
_atom_site_fract_z
_atom_site_occupancy
Re1 0.0000 0.0000 0.5000 1
La1 0.0000 0.5000 0.0000 1
La2 0.5000 0.0000 0.0000 1
Na1 0.5000 0.5000 0.5000 1
C1 0.0000 0.0000 0.0000 1
```

=====

(7)
Density functional theory data (GGA-PBE) for a relaxed structure of NaLa2RhC.

Properties
Calculated volume (Å³/atom): 23.45
Formation enthalpy at 0 K (eV/atom): -0.130
Total DFT energy (no corrections) (eV for the cell shown): -28.40

Geometry as CIF:
```
data_NaLa2RhC
_chemical_formula_sum 'Na1 La2 Rh1 C1'
_symmetry_space_group_name_H-M 'P 1'
_symmetry_Int_Tables_number 1
_symmetry_space_group_name_Hall 'P 1'
_cell_length_a 5.4259
_cell_length_b 5.4259
_cell_length_c 3.9829
_cell_angle_alpha 90.00
_cell_angle_beta 90.00
_cell_angle_gamma 90.00
loop_
_atom_site_label
_atom_site_fract_x
_atom_site_fract_y
_atom_site_fract_z
_atom_site_occupancy
La1 0.0000 0.5000 0.0000 1
Rh1 0.0000 0.0000 0.5000 1
C1 0.0000 0.0000 0.0000 1
Na1 0.5000 0.5000 0.5000 1
La2 0.5000 0.0000 0.0000 1
```

=====

(8)
Density functional theory data (GGA-PBE) for a relaxed structure of NaLa2ScC.

Properties
Calculated volume (Å³/atom): 27.26
Formation enthalpy at 0 K (eV/atom): 0.077
Total DFT energy (no corrections) (eV for the cell shown): -26.35

Geometry as CIF:
```
data_NaLa2ScC
_chemical_formula_sum 'Na1 La2 Sc1 C1'
_symmetry_space_group_name_H-M 'P 1'
_symmetry_Int_Tables_number 1
_symmetry_space_group_name_Hall 'P 1'
_cell_length_a 5.4630
_cell_length_b 5.4630
_cell_length_c 4.5668
_cell_angle_alpha 90.00
_cell_angle_beta 90.00
_cell_angle_gamma 90.00
loop_
_atom_site_label
_atom_site_fract_x
_atom_site_fract_y
_atom_site_fract_z
_atom_site_occupancy
La1 0.5000 0.0000 0.0000 1
Sc1 0.0000 0.0000 0.5000 1
C1 0.0000 0.0000 0.0000 1
Na1 0.5000 0.5000 0.5000 1
La2 0.0000 0.5000 0.0000 1
```